--- 1 ---
Material: ZrTcH2
Method: DFT, GGA-PBE
State: relaxed

Cell: 3.8951 3.8951 3.8951 Å, 60.00 60.00 60.00°
Last column: nearest neighbours and their distance in Å.
Atoms (fractional coordinates):
Zr  0.0000  0.0000  0.0000  8 H 2.39
Tc  0.5000  0.5000  0.5000  8 H 2.39
H  0.2500  0.2500  0.2500  4 Zr 2.39, 4 Tc 2.39
H  0.7500  0.7500  0.7500  4 Tc 2.39, 4 Zr 2.39

Properties
Space group: No. 225
Density of states at the Fermi level (states/eV/cell): 2.5

---

--- 2 ---
Material: ZrTcH2
Method: DFT, GGA-PBE
State: relaxed

Cell: 5.7483 5.7483 5.7483 Å, 137.40 137.40 61.83°
Last column: nearest neighbours and their distance in Å.
Atoms (fractional coordinates):
Zr  0.0000  0.0000  0.0000  4 H 2.06
Zr  0.7500  0.2500  0.5000  4 H 2.06
Tc  0.2500  0.7500  0.5000  4 H 1.81
Tc  0.5000  0.5000  0.0000  4 H 1.81
H  0.1797  0.6250  0.0547  2 Tc 1.81
H  0.3750  0.4297  0.5547  2 Tc 1.81
H  0.5703  0.1250  0.9453  2 Tc 1.81
H  0.8750  0.8203  0.4453  2 Tc 1.81

Properties
Space group: No. 122
Density of states at the Fermi level (states/eV/cell): 4.7

---

Which of them is the most stable, and which is the least stable? 2 and 1, in that order.

---

--- 1 ---
Material: ZrTcH3
Method: DFT, GGA-PBE
State: relaxed

Cell: 3.6456 3.6456 3.6456 Å, 90.00 90.00 90.00°
Last column: nearest neighbours and their distance in Å.
Atoms (fractional coordinates):
Zr  0.0000  0.0000  0.0000  6 H 1.82
Tc  0.5000  0.5000  0.5000  12 H 2.58
H  0.0000  0.0000  0.5000  2 Zr 1.82
H  0.0000  0.5000  0.0000  2 Zr 1.82
H  0.5000  0.0000  0.0000  2 Zr 1.82

Properties
Space group: No. 221
Density of states at the Fermi level (states/eV/cell): 2.4

---

--- 2 ---
Material: ZrTcH3
Method: DFT, GGA-PBE
State: relaxed

Cell: 3.5548 3.5548 3.5548 Å, 90.00 90.00 90.00°
Last column: nearest neighbours and their distance in Å.
Atoms (fractional coordinates):
Zr  0.0000  0.0000  0.0000  12 H 2.51
Tc  0.5000  0.5000  0.5000  6 H 1.78
H  0.0000  0.5000  0.5000  2 Tc 1.78
H  0.5000  0.0000  0.5000  2 Tc 1.78
H  0.5000  0.5000  0.0000  2 Tc 1.78

Properties
Space group: No. 221
Density of states at the Fermi level (states/eV/cell): 3.7

---

Which of them is the most stable, and which is the least stable? 2 and 1, in that order.

---

--- 1 ---
Material: TiTe2H
Method: DFT, GGA-PBE
State: relaxed

Cell: 4.7880 4.7880 4.7880 Å, 60.00 60.00 60.00°
Last column: nearest neighbours and their distance in Å.
Atoms (fractional coordinates):
Ti  0.0000  0.0000  0.0000  8 Te 2.93
Te  0.2500  0.2500  0.2500  4 H 2.93, 4 Ti 2.93
Te  0.7500  0.7500  0.7500  4 H 2.93, 4 Ti 2.93
H  0.5000  0.5000  0.5000  8 Te 2.93

Properties
Space group: No. 225
Density of states at the Fermi level (states/eV/cell): 1.4

---

--- 2 ---
Material: TiTe2H
Method: DFT, GGA-PBE
State: relaxed

Cell: 6.9811 6.9811 6.9811 Å, 129.56 129.56 74.12°
Last column: nearest neighbours and their distance in Å.
Atoms (fractional coordinates):
Ti  0.0000  0.0000  0.0000  4 Te 2.66
Ti  0.7500  0.2500  0.5000  4 Te 2.66
Te  0.1636  0.6250  0.0386  2 H 2.39, 2 Ti 2.66
Te  0.3750  0.4136  0.5386  2 H 2.39, 2 Ti 2.66
Te  0.5864  0.1250  0.9614  2 H 2.39, 2 Ti 2.66
Te  0.8750  0.8364  0.4614  2 H 2.39, 2 Ti 2.66
H  0.2500  0.7500  0.5000  4 Te 2.39
H  0.5000  0.5000  0.0000  4 Te 2.39

Properties
Space group: No. 122
Density of states at the Fermi level (states/eV/cell): 4.5

---

--- 3 ---
Material: TiTe2H
Method: DFT, GGA-PBE
State: relaxed

Cell: 3.4348 3.4348 8.2615 Å, 101.74 101.74 60.00°
Last column: nearest neighbours and their distance in Å.
Atoms (fractional coordinates):
Ti  0.0000  0.0000  0.0000  3 H 1.98
Te  0.5831  0.5831  0.7437  3 H 2.86, 3 Ti 2.86
Te  0.7501  0.7501  0.2556  3 Ti 2.85, 3 H 2.86
H  0.3333  0.3333  0.9997  3 Ti 1.98

Properties
Space group: No. 8
Density of states at the Fermi level (states/eV/cell): 3.5

---

Which of them is the most stable, and which is the least stable? 3 and 1, in that order.

---

--- 1 ---
Material: TiTe2H
Method: DFT, GGA-PBE
State: relaxed

Cell: 6.9022 3.8422 6.7024 Å, 90.00 98.40 90.00°
Last column: nearest neighbours and their distance in Å.
Atoms (fractional coordinates):
Ti  0.0000  0.2380  0.2500  6 Te 2.74-2.85
Ti  0.0000  0.7620  0.7500  6 Te 2.74-2.85
Te  0.2460  0.2424  0.9564  1 H 1.97
Te  0.2460  0.7576  0.4564  1 H 1.97
Te  0.7540  0.2424  0.5436  1 H 1.97
Te  0.7540  0.7576  0.0436  1 H 1.97
H  0.5000  0.0000  0.0000  2 Te 1.97
H  0.5000  0.0000  0.5000  2 Te 1.97

Properties
Space group: No. 13
Density of states at the Fermi level (states/eV/cell): 4.5

---

--- 2 ---
Material: TiTe2H
Method: DFT, GGA-PBE
State: relaxed

Cell: 8.8671 8.8671 8.8671 Å, 21.37 21.37 21.37°
Last column: nearest neighbours and their distance in Å.
Atoms (fractional coordinates):
Ti  0.0000  0.0000  0.0000  2 Te 2.71
Te  0.1043  0.1043  0.1043  3 H 2.50, 1 Ti 2.71
Te  0.8957  0.8957  0.8957  3 H 2.50, 1 Ti 2.71
H  0.5000  0.5000  0.5000  6 Te 2.50

Properties
Space group: No. 166
Density of states at the Fermi level (states/eV/cell): 4.9

---

Which of them is the most stable, and which is the least stable? 1 and 2, in that order.

---

--- 1 ---
Material: TiTe3H
Method: DFT, GGA-PBE
State: relaxed

Cell: 4.7106 4.7106 4.7106 Å, 90.00 90.00 90.00°
Last column: nearest neighbours and their distance in Å.
Atoms (fractional coordinates):
Ti  0.0000  0.0000  0.0000  12 Te 3.33
Te  0.0000  0.5000  0.5000  2 H 2.36
Te  0.5000  0.0000  0.5000  2 H 2.36
Te  0.5000  0.5000  0.0000  2 H 2.36
H  0.5000  0.5000  0.5000  6 Te 2.36

Properties
Space group: No. 221
Density of states at the Fermi level (states/eV/cell): 7.5

---

--- 2 ---
Material: TiTe3H
Method: DFT, GGA-PBE
State: relaxed

Cell: 5.3525 5.3525 5.3525 Å, 90.00 90.00 90.00°
Last column: nearest neighbours and their distance in Å.
Atoms (fractional coordinates):
Ti  0.0000  0.0000  0.0000  6 Te 2.68
Te  0.0000  0.0000  0.5000  2 Ti 2.68
Te  0.0000  0.5000  0.0000  2 Ti 2.68
Te  0.5000  0.0000  0.0000  2 Ti 2.68
H  0.5000  0.5000  0.5000  12 Te 3.78

Properties
Space group: No. 221
Density of states at the Fermi level (states/eV/cell): 5.2

---

Which of them is the most stable, and which is the least stable? 2 and 1, in that order.

---

--- 1 ---
Material: TiTe2H2
Method: DFT, GGA-PBE
State: relaxed

Cell: 6.4191 6.4191 6.8136 Å, 109.71 109.71 102.30°
Last column: nearest neighbours and their distance in Å.
Atoms (fractional coordinates):
Ti  0.1309  0.8691  0.0000  4 H 1.82-1.87
Ti  0.8691  0.1309  0.0000  4 H 1.82-1.87
Te  0.2062  0.6050  0.2526  2 H 2.74-3.06, 2 Ti 2.80-2.84, 1 Te 2.86
Te  0.3950  0.7938  0.7474  2 H 2.74-3.06, 2 Ti 2.80-2.84, 1 Te 2.86
Te  0.6050  0.2062  0.2526  2 H 2.74-3.06, 2 Ti 2.80-2.84, 1 Te 2.86
Te  0.7938  0.3950  0.7474  2 H 2.74-3.06, 2 Ti 2.80-2.84, 1 Te 2.86
H  0.1094  0.1094  0.2331  2 H 1.79-1.88, 2 Ti 1.87
H  0.1489  0.1489  0.9848  2 H 1.79-1.88, 2 Ti 1.82
H  0.8511  0.8511  0.0152  2 H 1.79-1.88, 2 Ti 1.82
H  0.8906  0.8906  0.7669  2 H 1.79-1.88, 2 Ti 1.87

Properties
Space group: No. 12
Density of states at the Fermi level (states/eV/cell): 0.8

---

--- 2 ---
Material: TiTe2H2
Method: DFT, GGA-PBE
State: relaxed

Cell: 3.7231 3.7231 9.9012 Å, 98.58 98.58 60.02°
Last column: nearest neighbours and their distance in Å.
Atoms (fractional coordinates):
Ti  0.0000  0.0000  0.0000  6 Te 2.77-2.78
Te  0.2855  0.2855  0.8200  3 Ti 2.77-2.78
Te  0.7145  0.7145  0.1800  3 Ti 2.77-2.78
H  0.4637  0.4637  0.5260  1 H 0.75
H  0.5363  0.5363  0.4740  1 H 0.75

Properties
Space group: No. 12
Density of states at the Fermi level (states/eV/cell): 1.4

---

Which of them is the most stable, and which is the least stable? 2 and 1, in that order.

---

--- 1 ---
Material: TlTeH2
Method: DFT, GGA-PBE
State: relaxed

Cell: 4.7540 5.6761 8.4816 Å, 90.00 106.22 90.00°
Last column: nearest neighbours and their distance in Å.
Atoms (fractional coordinates):
Tl  0.0997  0.2500  0.2011  2 Te 3.21, 6 H 3.41-3.47
Tl  0.9003  0.7500  0.7989  2 Te 3.21, 6 H 3.41-3.47
Te  0.4677  0.2500  0.9360  2 Te 3.02, 2 Tl 3.21
Te  0.5323  0.7500  0.0640  2 Te 3.02, 2 Tl 3.21
H  0.2518  0.6837  0.5015  1 H 0.75
H  0.2518  0.8163  0.5015  1 H 0.75
H  0.7482  0.1837  0.4985  1 H 0.75
H  0.7482  0.3163  0.4985  1 H 0.75

Properties
Space group: No. 11

---

--- 2 ---
Material: TlTeH2
Method: DFT, GGA-PBE
State: relaxed

Cell: 4.5336 4.5336 4.5336 Å, 60.00 60.00 60.00°
Last column: nearest neighbours and their distance in Å.
Atoms (fractional coordinates):
Tl  0.0000  0.0000  0.0000  8 H 2.78
Te  0.5000  0.5000  0.5000  8 H 2.78
H  0.2500  0.2500  0.2500  4 Te 2.78, 4 Tl 2.78
H  0.7500  0.7500  0.7500  4 Te 2.78, 4 Tl 2.78

Properties
Space group: No. 225
Density of states at the Fermi level (states/eV/cell): 1.8

---

Which of them is the most stable, and which is the least stable? 1 and 2, in that order.

---

--- 1 ---
Material: TlTe3H
Method: DFT, GGA-PBE
State: relaxed

Cell: 4.9786 4.9786 4.9786 Å, 90.00 90.00 90.00°
Last column: nearest neighbours and their distance in Å.
Atoms (fractional coordinates):
Tl  0.0000  0.0000  0.0000  12 Te 3.52
Te  0.0000  0.5000  0.5000  2 H 2.49
Te  0.5000  0.0000  0.5000  2 H 2.49
Te  0.5000  0.5000  0.0000  2 H 2.49
H  0.5000  0.5000  0.5000  6 Te 2.49

Properties
Space group: No. 221
Density of states at the Fermi level (states/eV/cell): 3.0

---

--- 2 ---
Material: TlTe3H
Method: DFT, GGA-PBE
State: relaxed

Cell: 5.8654 5.8654 5.8654 Å, 90.00 90.00 90.00°
Last column: nearest neighbours and their distance in Å.
Atoms (fractional coordinates):
Tl  0.0000  0.0000  0.0000  6 Te 2.93
Te  0.0000  0.0000  0.5000  2 Tl 2.93
Te  0.0000  0.5000  0.0000  2 Tl 2.93
Te  0.5000  0.0000  0.0000  2 Tl 2.93
H  0.5000  0.5000  0.5000  12 Te 4.15

Properties
Space group: No. 221
Density of states at the Fermi level (states/eV/cell): 8.0

---

Which of them is the most stable, and which is the least stable? 1 and 2, in that order.

---

--- 1 ---
Material: Tm2Te3H
Method: DFT, GGA-PBE
State: relaxed

Cell: 11.4963 3.9962 12.7018 Å, 90.00 90.00 90.00°
Last column: nearest neighbours and their distance in Å.
Atoms (fractional coordinates):
Tm  0.0620  0.2500  0.1762  2 H 2.27
Tm  0.2033  0.2500  0.5233  1 H 2.25
Tm  0.2967  0.7500  0.0233  1 H 2.25
Tm  0.4380  0.7500  0.6762  2 H 2.27
Tm  0.5620  0.2500  0.3238  2 H 2.27
Tm  0.7033  0.2500  0.9767  1 H 2.25
Tm  0.7967  0.7500  0.4767  1 H 2.25
Tm  0.9380  0.7500  0.8238  2 H 2.27
Te  0.0711  0.7500  0.3766  5 Tm 3.13-3.40, 1 H 3.28
Te  0.1128  0.2500  0.9376  3 H 2.99-3.13, 5 Tm 3.09-3.18
Te  0.1745  0.7500  0.6980  4 Tm 3.00-3.15, 2 H 3.08
Te  0.3255  0.2500  0.1980  4 Tm 3.00-3.15, 2 H 3.08
Te  0.3872  0.7500  0.4376  3 H 2.99-3.13, 5 Tm 3.09-3.18
Te  0.4289  0.2500  0.8766  5 Tm 3.13-3.40, 1 H 3.28
Te  0.5711  0.7500  0.1234  5 Tm 3.13-3.40, 1 H 3.28
Te  0.6128  0.2500  0.5624  3 H 2.99-3.13, 5 Tm 3.09-3.18
Te  0.6745  0.7500  0.8020  4 Tm 3.00-3.15, 2 H 3.08
Te  0.8255  0.2500  0.3020  4 Tm 3.00-3.15, 2 H 3.08
Te  0.8872  0.7500  0.0624  3 H 2.99-3.13, 5 Tm 3.09-3.18
Te  0.9289  0.2500  0.6234  5 Tm 3.13-3.40, 1 H 3.28
H  0.1376  0.7500  0.1257  3 Tm 2.25-2.27
H  0.3624  0.2500  0.6257  3 Tm 2.25-2.27
H  0.6376  0.7500  0.3743  3 Tm 2.25-2.27
H  0.8624  0.2500  0.8743  3 Tm 2.25-2.27

Properties
Space group: No. 62
Density of states at the Fermi level (states/eV/cell): 9.6

---

--- 2 ---
Material: Tm2Te3H
Method: DFT, GGA-PBE
State: relaxed

Cell: 8.2100 8.2100 10.7158 Å, 113.46 113.46 32.91°
Last column: nearest neighbours and their distance in Å.
Atoms (fractional coordinates):
Tm  0.0957  0.0957  0.4515  2 H 2.14-2.15
Tm  0.3530  0.3530  0.1649  5 Te 2.96-3.07, 2 H 3.19
Tm  0.6470  0.6470  0.8351  5 Te 2.96-3.07, 2 H 3.19
Tm  0.9043  0.9043  0.5485  2 H 2.14-2.15
Te  0.1399  0.1399  0.0019  3 Tm 2.96-3.07
Te  0.2807  0.2807  0.3815  4 Tm 2.98-3.30
Te  0.4403  0.4403  0.7435  3 Tm 2.98-3.02
Te  0.5597  0.5597  0.2565  3 Tm 2.98-3.02
Te  0.7193  0.7193  0.6185  4 Tm 2.98-3.30
Te  0.8601  0.8601  0.9981  3 Tm 2.96-3.07
H  0.0533  0.0533  0.6176  2 Tm 2.14-2.15, 1 H 2.38
H  0.9467  0.9467  0.3824  2 Tm 2.14-2.15, 1 H 2.38

Properties
Space group: No. 12
Density of states at the Fermi level (states/eV/cell): 6.9

---

Which of them is the most stable, and which is the least stable? 1 and 2, in that order.

---

--- 1 ---
Material: UTe2H
Method: DFT, GGA-PBE
State: relaxed

Cell: 8.0246 8.0246 8.0246 Å, 30.69 30.69 30.69°
Last column: nearest neighbours and their distance in Å.
Atoms (fractional coordinates):
U  0.0000  0.0000  0.0000  6 Te 3.08
Te  0.4147  0.4147  0.4147  1 H 1.96
Te  0.5853  0.5853  0.5853  1 H 1.96
H  0.5000  0.5000  0.5000  2 Te 1.96

Properties
Space group: No. 166
Density of states at the Fermi level (states/eV/cell): 3.9

---

--- 2 ---
Material: UTe2H
Method: DFT, GGA-PBE
State: relaxed

Cell: 5.8690 5.8690 5.8690 Å, 140.53 139.70 57.68°
Last column: nearest neighbours and their distance in Å.
Atoms (fractional coordinates):
U  0.0000  0.0000  0.0000  2 H 1.98
Te  0.3422  0.3422  0.0000  2 H 2.59
Te  0.6578  0.6578  0.0000  2 H 2.59
H  0.0000  0.5000  0.5000  2 U 1.98

Properties
Space group: No. 71
Density of states at the Fermi level (states/eV/cell): 5.8

---

Which of them is the most stable, and which is the least stable? 2 and 1, in that order.

---

--- 1 ---
Material: VTe3H
Method: DFT, GGA-PBE
State: relaxed

Cell: 5.2322 5.2322 5.2322 Å, 90.00 90.00 90.00°
Last column: nearest neighbours and their distance in Å.
Atoms (fractional coordinates):
V  0.0000  0.0000  0.0000  6 Te 2.62
Te  0.0000  0.0000  0.5000  2 V 2.62
Te  0.0000  0.5000  0.0000  2 V 2.62
Te  0.5000  0.0000  0.0000  2 V 2.62
H  0.5000  0.5000  0.5000  12 Te 3.70

Properties
Space group: No. 221
Density of states at the Fermi level (states/eV/cell): 2.6

---

--- 2 ---
Material: VTe3H
Method: DFT, GGA-PBE
State: relaxed

Cell: 4.7214 4.7214 4.7214 Å, 90.00 90.00 90.00°
Last column: nearest neighbours and their distance in Å.
Atoms (fractional coordinates):
V  0.0000  0.0000  0.0000  12 Te 3.34
Te  0.0000  0.5000  0.5000  2 H 2.36
Te  0.5000  0.0000  0.5000  2 H 2.36
Te  0.5000  0.5000  0.0000  2 H 2.36
H  0.5000  0.5000  0.5000  6 Te 2.36

Properties
Space group: No. 221
Density of states at the Fermi level (states/eV/cell): 3.2

---

Which of them is the most stable, and which is the least stable? 1 and 2, in that order.

---

--- 1 ---
Material: V2TeH
Method: DFT, GGA-PBE
State: relaxed

Cell: 4.8451 4.8451 4.8451 Å, 55.67 55.67 55.67°
Last column: nearest neighbours and their distance in Å.
Atoms (fractional coordinates):
V  0.1389  0.1389  0.1389  1 H 1.70
V  0.8611  0.8611  0.8611  1 H 1.70
Te  0.5000  0.5000  0.5000  6 V 2.63
H  0.0000  0.0000  0.0000  2 V 1.70

Properties
Space group: No. 166
Density of states at the Fermi level (states/eV/cell): 4.4

---

--- 2 ---
Material: V2TeH
Method: DFT, GGA-PBE
State: relaxed

Cell: 6.2631 6.2631 6.2631 Å, 136.62 136.62 63.02°
Last column: nearest neighbours and their distance in Å.
Atoms (fractional coordinates):
V  0.0000  0.0000  0.0000  2 H 1.77
V  0.0000  0.0000  0.5000  2 H 1.77
V  0.0000  0.5000  0.0000  2 H 1.77
V  0.5000  0.0000  0.5000  2 H 1.77
Te  0.3750  0.6250  0.7500  8 V 2.91
Te  0.6250  0.3750  0.2500  8 V 2.91
H  0.1250  0.8750  0.2500  4 V 1.77
H  0.8750  0.1250  0.7500  4 V 1.77

Properties
Space group: No. 141
Density of states at the Fermi level (states/eV/cell): 7.3

---

Which of them is the most stable, and which is the least stable? 2 and 1, in that order.